The following is a PBE-GGA calculation of a relaxed structure of NaGaO2, from the Alexandria database.

The structure in POSCAR format:
```
NaGaO2
1.0
6.025 0.013 0.826
-0.125 6.024 0.826
-0.060 -0.062 11.337
O Ga Na
16 8 8
direct
0.559 0.934 0.751 O
0.737 0.860 0.052 O
0.934 0.559 0.251 O
0.260 0.638 0.952 O
0.559 0.441 0.750 O
0.263 0.140 0.948 O
0.441 0.066 0.249 O
0.441 0.559 0.250 O
0.935 0.065 0.250 O
0.362 0.740 0.548 O
0.140 0.263 0.448 O
0.066 0.441 0.749 O
0.065 0.935 0.750 O
0.860 0.737 0.552 O
0.638 0.260 0.452 O
0.740 0.362 0.048 O
0.414 0.287 0.352 Ga
0.286 0.910 0.853 Ga
0.287 0.414 0.852 Ga
0.090 0.714 0.647 Ga
0.910 0.286 0.353 Ga
0.586 0.713 0.648 Ga
0.713 0.586 0.148 Ga
0.714 0.090 0.147 Ga
0.654 0.781 0.384 Na
0.346 0.219 0.616 Na
0.219 0.844 0.126 Na
0.219 0.346 0.116 Na
0.781 0.156 0.874 Na
0.844 0.219 0.626 Na
0.156 0.781 0.374 Na
0.781 0.654 0.884 Na
```

Properties
- uncorrected energy (eV/atom) = -5.38

***

The following is a PBE-GGA calculation of a relaxed structure of NaGa3O, from the Alexandria database.

The structure in POSCAR format:
```
NaGa3O
1.0
-2.377 1.630 4.308
-2.621 -4.466 0.244
3.788 -2.067 2.872
Ga O Na
3 1 1
direct
0.000 0.500 0.000 Ga
0.000 0.000 0.500 Ga
0.500 0.000 0.000 Ga
0.500 0.500 0.500 O
0.000 0.000 0.000 Na
```

Properties
- uncorrected energy (eV/atom) = -2.10

***

The following is a PBE-GGA calculation of a relaxed structure of Na3GaO, from the Alexandria database.

The structure in POSCAR format:
```
Na3GaO
1.0
4.691 0.000 0.000
0.000 4.691 0.000
0.000 0.000 4.691
O Ga Na
1 1 3
direct
0.000 0.000 0.000 O
0.500 0.500 0.500 Ga
0.000 0.500 0.000 Na
0.500 0.000 0.000 Na
0.000 0.000 0.500 Na
```

Properties
- uncorrected energy (eV/atom) = -2.91

***

The following is a PBE-GGA calculation of a relaxed structure of Na2GaOsO6, from the Alexandria database.

The structure in POSCAR format:
```
Na2GaOsO6
1.0
-3.255 0.204 -4.320
-1.372 -5.203 0.788
-0.570 3.595 3.975
O Na Os Ga
6 2 1 1
direct
0.798 0.787 0.082 O
0.677 0.256 0.512 O
0.202 0.213 0.918 O
0.202 0.705 0.918 O
0.323 0.744 0.488 O
0.798 0.295 0.082 O
0.760 0.750 0.501 Na
0.240 0.250 0.499 Na
0.000 0.500 0.000 Os
0.500 0.000 0.000 Ga
```

Properties
- uncorrected energy (eV/atom) = -6.05

***

The following is a PBE-GGA calculation of a relaxed structure of NaGaOsO2, from the Alexandria database.

The structure in POSCAR format:
```
NaGaOsO2
1.0
-0.701 0.563 3.712
-5.255 -2.923 -0.549
1.746 -3.294 0.829
Na O Os Ga
1 2 1 1
direct
0.000 0.500 0.000 Na
0.000 0.000 0.500 O
0.500 0.000 0.000 O
0.000 0.000 0.000 Os
0.500 0.500 0.500 Ga
```

Properties
- uncorrected energy (eV/atom) = -5.35

***

The following is a PBE-GGA calculation of a relaxed structure of Na3Ga3OsO8, from the Alexandria database.

The structure in POSCAR format:
```
Na3Ga3OsO8
1.0
6.104 -0.001 0.000
-3.053 5.290 -0.020
0.000 -3.510 5.472
Ga O Os Na
3 8 1 3
direct
0.500 0.000 0.500 Ga
0.500 0.500 0.500 Ga
0.000 0.500 0.500 Ga
0.228 0.961 0.689 O
0.733 0.961 0.690 O
0.771 0.542 0.311 O
0.772 0.039 0.311 O
0.732 0.464 0.697 O
0.268 0.536 0.303 O
0.229 0.458 0.689 O
0.267 0.039 0.310 O
0.000 0.000 0.500 Os
0.000 0.500 0.000 Na
0.000 0.000 0.000 Na
0.500 0.500 0.000 Na
```

Properties
- uncorrected energy (eV/atom) = -5.85

***

> What is the formula in the first record?

NaGaO2

***

Repeat the first record exactly.
The following is a PBE-GGA calculation of a relaxed structure of NaGaO2, from the Alexandria database.

The structure in POSCAR format:
```
NaGaO2
1.0
6.025 0.013 0.826
-0.125 6.024 0.826
-0.060 -0.062 11.337
O Ga Na
16 8 8
direct
0.559 0.934 0.751 O
0.737 0.860 0.052 O
0.934 0.559 0.251 O
0.260 0.638 0.952 O
0.559 0.441 0.750 O
0.263 0.140 0.948 O
0.441 0.066 0.249 O
0.441 0.559 0.250 O
0.935 0.065 0.250 O
0.362 0.740 0.548 O
0.140 0.263 0.448 O
0.066 0.441 0.749 O
0.065 0.935 0.750 O
0.860 0.737 0.552 O
0.638 0.260 0.452 O
0.740 0.362 0.048 O
0.414 0.287 0.352 Ga
0.286 0.910 0.853 Ga
0.287 0.414 0.852 Ga
0.090 0.714 0.647 Ga
0.910 0.286 0.353 Ga
0.586 0.713 0.648 Ga
0.713 0.586 0.148 Ga
0.714 0.090 0.147 Ga
0.654 0.781 0.384 Na
0.346 0.219 0.616 Na
0.219 0.844 0.126 Na
0.219 0.346 0.116 Na
0.781 0.156 0.874 Na
0.844 0.219 0.626 Na
0.156 0.781 0.374 Na
0.781 0.654 0.884 Na
```

Properties
- uncorrected energy (eV/atom) = -5.38